Record 1
Compound: K3La2TmTe6
Source: Alexandria
Functional: PBE
Structure: optimized geometry

Cell lengths 8.0162, 13.8894, 8.6550 Å; angles 90.00, 108.03, 90.00 degrees
Space group C2/m (No. 12)
Unique sites:
K  0.0000  0.0000  0.0000 x2
K  0.0000  0.3301  0.0000 x4
La  0.0000  0.1662  0.5000 x4
Tm  0.0000  0.5000  0.5000 x2
Te  0.2306  0.3400  0.7122 x8
Te  0.2483  0.5000  0.2872 x4

Values from the calculation:
The value obtained for the energy relative to the elements, uncorrected is -1.45 eV/atom. As for the mass density: 4819 kg/m3. The density of states at the Fermi level is 0.0 states/eV/cell. The value obtained for the electronic total energy is -4.4902 eV per atom.

Record 2
Compound: K2LaTmTe4
Source: Alexandria
Functional: PBE
Structure: optimized geometry

Cell lengths 7.9484, 4.5823, 8.6495 Å; angles 90.00, 107.79, 90.00 degrees
Space group P2/m (No. 10)
Unique sites:
K  0.0000  0.0000  0.0000 x1
K  0.5000  0.5000  0.0000 x1
La  0.0000  0.5000  0.5000 x1
Tm  0.5000  0.0000  0.5000 x1
Te  0.2507  0.0000  0.7136 x2
Te  0.2764  0.5000  0.2923 x2

Values from the calculation:
The value obtained for the energy relative to the elements, uncorrected is -1.43 eV/atom. As for the mass density: 4962 kg/m3. The density of states at the Fermi level is 0.0 states/eV/cell. The value obtained for the electronic total energy is -4.4463 eV per atom.

Record 3
Compound: K4La3TmTe8
Source: Alexandria
Functional: PBE
Structure: optimized geometry

Cell lengths 9.3006, 9.3006, 24.6947 Å; angles 90.00, 90.00, 120.00 degrees
Space group R-3m (No. 166, hexagonal axes)
Unique sites:
K  0.0000  0.0000  0.0000 x3
K  0.0000  0.5000  0.0000 x9
La  0.0000  0.5000  0.5000 x9
Tm  0.0000  0.0000  0.5000 x3
Te  0.0000  0.0000  0.2394 x6
Te  0.0127  0.5064  0.2372 x18

Values from the calculation:
The value obtained for the energy relative to the elements, uncorrected is -1.46 eV/atom. As for the mass density: 4747 kg/m3. The value obtained for the electronic total energy is -4.5094 eV per atom.

Record 4
Compound: K4LaTm3Te8
Source: Alexandria
Functional: PBE
Structure: optimized geometry

Cell lengths 9.0385, 9.0385, 24.7124 Å; angles 90.00, 90.00, 120.00 degrees
Space group R-3m (No. 166, hexagonal axes)
Unique sites:
K  0.0000  0.0000  0.0000 x3
K  0.0000  0.5000  0.0000 x9
La  0.0000  0.0000  0.5000 x3
Tm  0.0000  0.5000  0.5000 x9
Te  0.0000  0.0000  0.2348 x6
Te  0.0123  0.5062  0.7635 x18

Values from the calculation:
The value obtained for the energy relative to the elements, uncorrected is -1.40 eV/atom. As for the mass density: 5194 kg/m3. The value obtained for the electronic total energy is -4.3879 eV per atom.

Record 5
Compound: K3La3UTe8
Source: Alexandria
Functional: PBE
Structure: optimized geometry

Cell lengths 16.1402, 9.3030, 9.9130 Å; angles 90.00, 122.91, 90.00 degrees
Space group C2/m (No. 12)
Unique sites:
K  0.0000  0.0000  0.0000 x2
K  0.2500  0.2500  0.0000 x4
La  0.0000  0.5000  0.5000 x2
La  0.2500  0.2500  0.5000 x4
U  0.0000  0.0000  0.5000 x2
Te  0.0111  0.2397  0.2936 x8
Te  0.2286  0.0000  0.7064 x4
Te  0.2389  0.5000  0.7168 x4

Values from the calculation:
The value obtained for the energy relative to the elements, uncorrected is -1.31 eV/atom. As for the mass density: 4765 kg/m3. The density of states at the Fermi level is 12.8 states/eV/cell. The value obtained for the electronic total energy is -4.9422 eV per atom.

Record 6
Compound: K4LaU3Te8
Source: Alexandria
Functional: PBE
Structure: optimized geometry

Cell lengths 9.1285, 9.1285, 24.8383 Å; angles 90.00, 90.00, 120.00 degrees
Space group R-3m (No. 166, hexagonal axes)
Unique sites:
K  0.0000  0.0000  0.0000 x3
K  0.0000  0.5000  0.0000 x9
La  0.0000  0.0000  0.5000 x3
U  0.0000  0.5000  0.5000 x9
Te  0.0000  0.0000  0.2366 x6
Te  0.0074  0.5037  0.7619 x18

Values from the calculation:
The value obtained for the energy relative to the elements, uncorrected is -1.00 eV/atom. As for the mass density: 5642 kg/m3. The density of states at the Fermi level is 73.7 states/eV/cell. The value obtained for the electronic total energy is -5.2692 eV per atom.

Record 7
Compound: KLa2YTe
Source: Alexandria
Functional: PBE
Structure: optimized geometry

Cell lengths 6.0692, 6.0692, 5.9282 Å; angles 90.00, 90.00, 90.00 degrees
Space group P4/mmm (No. 123)
Unique sites:
K  0.0000  0.0000  0.0000 x1
La  0.0000  0.5000  0.5000 x2
Y  0.5000  0.5000  0.5000 x1
Te  0.5000  0.5000  0.0000 x1

Values from the calculation:
The value obtained for the energy relative to the elements, uncorrected is 0.19 eV/atom. As for the mass density: 4056 kg/m3. The density of states at the Fermi level is 6.7 states/eV/cell. The value obtained for the electronic total energy is -3.9173 eV per atom.

Record 8
Compound: KLa3Y2Te6
Source: Alexandria
Functional: PBE
Structure: optimized geometry

Cell lengths 19.7870, 4.5208, 9.1616 Å; angles 90.00, 102.91, 90.00 degrees
Space group C2/m (No. 12)
Unique sites:
K  0.0000  0.0000  0.0000 x2
La  0.0000  0.0000  0.5000 x2
La  0.1603  0.5000  0.8249 x4
Y  0.1684  0.5000  0.3430 x4
Te  0.0077  0.5000  0.2594 x4
Te  0.1694  0.0000  0.5764 x4
Te  0.1721  0.0000  0.0972 x4

Values from the calculation:
The value obtained for the energy relative to the elements, uncorrected is -1.44 eV/atom. As for the mass density: 5817 kg/m3. The density of states at the Fermi level is 11.4 states/eV/cell. The value obtained for the electronic total energy is -5.4119 eV per atom.